Entry from the Alexandria database: an optimized crystal structure of Li2Co (PBE-GGA).

Computed properties:
ΔH_f (0 K): 0.74 eV per atom
Total magnetic moment: 1.62 μB per cell

abc: 4.227 4.227 4.227
angles: 60.00 60.00 60.00
Positions (direct):
Li (0.250, 0.250, 0.250)
Li (0.750, 0.750, 0.750)
Co (0.000, 0.000, 0.000)